[1]
# Ni2SbIr

A geometry-optimized Ni2SbIr structure (PBE, Alexandria via LeMat-Bulk).

Calculated values
SG	No. 160
formation energy from raw total energies	380	meV per atom

Cell lengths 8.000, 8.000, 8.000 Å; angles 21.57, 21.57, 21.57 degrees
Positions (direct):
Ni1 0.000 0.000 0.000
Ni2 0.256 0.256 0.256
Sb1 0.749 0.749 0.749
Ir1 0.507 0.507 0.507


[2]
# NiSbIr2

A geometry-optimized NiSbIr2 structure (PBE, Alexandria via LeMat-Bulk).

Calculated values
SG	No. 25
formation energy from raw total energies	198	meV per atom

Cell lengths 2.922, 3.794, 5.577 Å; angles 90.00, 90.00, 90.00 degrees
Positions (direct):
Ni1 0.000 0.000 0.000
Sb1 0.500 0.500 0.273
Ir1 0.000 0.000 0.538
Ir2 0.500 0.500 0.795


[3]
# Ni2Sb8Ir

A geometry-optimized Ni2Sb8Ir structure (PBE, Alexandria via LeMat-Bulk).

Calculated values
SG	No. 12
formation energy from raw total energies	-27	meV per atom

Cell lengths 7.505, 7.505, 5.289 Å; angles 90.54, 90.54, 70.47 degrees
Positions (direct):
Ni1 0.125 0.125 0.265
Ni2 0.875 0.875 0.735
Sb1 0.088 0.088 0.745
Sb2 0.200 0.628 0.798
Sb3 0.325 0.325 0.193
Sb4 0.372 0.800 0.202
Sb5 0.628 0.200 0.798
Sb6 0.675 0.675 0.807
Sb7 0.800 0.372 0.202
Sb8 0.912 0.912 0.255
Ir1 0.500 0.500 0.500


[4]
# Ni2SbIr

A geometry-optimized Ni2SbIr structure (PBE, Alexandria via LeMat-Bulk).

Calculated values
SG	No. 216
formation energy from raw total energies	24	meV per atom

Cell lengths 4.324, 4.324, 4.324 Å; angles 60.00, 60.00, 60.00 degrees
Positions (direct):
Ni1 0.000 0.000 0.000
Ni2 0.250 0.250 0.250
Sb1 0.750 0.750 0.750
Ir1 0.500 0.500 0.500


[5]
# NiSb2Ir

A geometry-optimized NiSb2Ir structure (PBE, Alexandria via LeMat-Bulk).

Calculated values
SG	No. 12
formation energy from raw total energies	199	meV per atom

Cell lengths 4.633, 4.633, 3.355 Å; angles 90.42, 90.42, 90.00 degrees
Positions (direct):
Ni1 0.000 0.000 0.000
Sb1 0.000 0.500 0.500
Sb2 0.500 0.000 0.500
Ir1 0.500 0.500 0.000


[6]
# Ni2SbIr

A geometry-optimized Ni2SbIr structure (PBE, Alexandria via LeMat-Bulk).

Calculated values
SG	No. 123
formation energy from raw total energies	160	meV per atom

Cell lengths 3.239, 3.239, 5.527 Å; angles 90.00, 90.00, 90.00 degrees
Positions (direct):
Ni1 0.000 0.000 0.240
Ni2 0.000 0.000 0.760
Sb1 0.500 0.500 0.500
Ir1 0.500 0.500 0.000


[7]
# Ni2SbIr

A geometry-optimized Ni2SbIr structure (PBE, Alexandria via LeMat-Bulk).

Calculated values
SG	No. 12
formation energy from raw total energies	141	meV per atom

Cell lengths 4.521, 4.521, 4.634 Å; angles 102.36, 102.36, 39.08 degrees
Positions (direct):
Ni1 0.250 0.250 0.241
Ni2 0.750 0.750 0.759
Sb1 0.000 0.000 0.500
Ir1 0.500 0.500 0.000


[8]
# NiSb2Ir2

A geometry-optimized NiSb2Ir2 structure (PBE, Alexandria via LeMat-Bulk).

Calculated values
SG	No. 139
formation energy from raw total energies	423	meV per atom

Cell lengths 7.494, 7.494, 7.494 Å; angles 150.58, 150.58, 42.10 degrees
Positions (direct):
Ni1 0.000 0.000 0.000
Sb1 0.387 0.387 0.000
Sb2 0.613 0.613 0.000
Ir1 0.250 0.750 0.500
Ir2 0.750 0.250 0.500